# 1
The following is a DFT calculation (SCAN) of a PBEsol-optimized structure of MgI3N.

Theoretical density in g cm⁻³: 3.86
E_tot in eV/atom: -24.411
Space group: Pm-3m (221)
D(E_F) in states/eV/cell: 4.793
Total magnetic moment in μB/cell: 3.08
Formation energy from raw total energies in eV/atom: 0.487
Crystal system: cubic

a = 5.649 Å, b = 5.649 Å, c = 5.649 Å
α = 90.00°, β = 90.00°, γ = 90.00°
Element x y z (fractional)
I (0.000, 0.000, 0.500)
I (0.000, 0.500, 0.000)
Mg (0.000, 0.000, 0.000)
N (0.500, 0.500, 0.500)
I (0.500, 0.000, 0.000)

# 2
The following is a DFT calculation (SCAN) of a PBEsol-optimized structure of MgIN2.

Theoretical density in g cm⁻³: 4.99
E_tot in eV/atom: -14.379
Space group: R-3m (166)
D(E_F) in states/eV/cell: 1.614
Total magnetic moment in μB/cell: 0.00
Formation energy from raw total energies in eV/atom: 0.695
Crystal system: trigonal

a = 3.362 Å, b = 3.362 Å, c = 6.394 Å
α = 74.76°, β = 74.76°, γ = 60.00°
Element x y z (fractional)
N (0.890, 0.890, 0.329)
Mg (0.500, 0.500, 0.500)
I (0.000, 0.000, 0.000)
N (0.110, 0.110, 0.671)

# 3
The following is a DFT calculation (SCAN) of a PBEsol-optimized structure of MgNbI2N.

Theoretical density in g cm⁻³: 5.36
E_tot in eV/atom: -23.526
Space group: P4/mmm (123)
Polymorph energy (0 for the lowest one) in meV/atom: 666.6
D(E_F) in states/eV/cell: 2.405
Total magnetic moment in μB/cell: 5.24
Formation energy from raw total energies in eV/atom: 0.650
Crystal system: tetragonal

a = 3.840 Å, b = 5.572 Å, c = 5.572 Å
α = 90.00°, β = 90.00°, γ = 90.00°
Element x y z (fractional)
I (0.000, 0.000, 0.500)
I (0.000, 0.500, 0.000)
Mg (0.000, 0.000, 0.000)
N (0.500, 0.000, 0.000)
Nb (0.500, 0.500, 0.500)

# 4
The following is a DFT calculation (SCAN) of a PBEsol-optimized structure of MgNbI2N.

Theoretical density in g cm⁻³: 5.10
E_tot in eV/atom: -24.193
Space group: P4/mmm (123)
Polymorph energy (0 for the lowest one) in meV/atom: 0.0
D(E_F) in states/eV/cell: 2.102
Total magnetic moment in μB/cell: 0.00
Formation energy from raw total energies in eV/atom: -0.017
Crystal system: tetragonal

a = 3.925 Å, b = 5.651 Å, c = 5.651 Å
α = 90.00°, β = 90.00°, γ = 90.00°
Element x y z (fractional)
I (0.000, 0.500, 0.000)
Nb (0.000, 0.000, 0.000)
Mg (0.500, 0.500, 0.500)
N (0.500, 0.000, 0.000)
I (0.000, 0.000, 0.500)

# 5
The following is a DFT calculation (SCAN) of a PBEsol-optimized structure of MgIN2O.

Theoretical density in g cm⁻³: 4.70
E_tot in eV/atom: -11.585
Space group: P4/mmm (123)
D(E_F) in states/eV/cell: 2.168
Total magnetic moment in μB/cell: 2.20
Formation energy from raw total energies in eV/atom: 1.721
Crystal system: tetragonal

a = 4.095 Å, b = 4.095 Å, c = 4.115 Å
α = 90.00°, β = 90.00°, γ = 90.00°
Element x y z (fractional)
Mg (0.500, 0.500, 0.500)
N (0.000, 0.500, 0.000)
I (0.000, 0.000, 0.500)
N (0.500, 0.000, 0.000)
O (0.000, 0.000, 0.000)

# 6
The following is a DFT calculation (SCAN) of a PBEsol-optimized structure of MgIN2O.

Theoretical density in g cm⁻³: 3.61
E_tot in eV/atom: -11.813
Space group: P4/mmm (123)
D(E_F) in states/eV/cell: 2.057
Total magnetic moment in μB/cell: 4.36
Formation energy from raw total energies in eV/atom: 1.493
Crystal system: tetragonal

a = 3.805 Å, b = 3.805 Å, c = 6.206 Å
α = 90.00°, β = 90.00°, γ = 90.00°
Element x y z (fractional)
O (0.500, 0.500, 0.500)
I (0.000, 0.000, 0.500)
Mg (0.000, 0.000, 0.000)
N (0.000, 0.500, 0.000)
N (0.500, 0.000, 0.000)